No. 1
# CsPr2Th

A relaxed CsPr2Th crystal (PBE-GGA, Alexandria via LeMat-Bulk).

Cell: 3.7319 3.7319 13.6326 Å, 82.13 82.13 60.00°
Last column: nearest neighbours and their distance in Å.
Sites, in units of the cell vectors:
Cs 0.0000 0.0000 0.0000  6 Cs 3.73, 2 Pr 3.89
Pr 0.9038 0.9038 0.2887  3 Th 3.57, 6 Pr 3.73, 1 Cs 3.89
Pr 0.0962 0.0962 0.7113  3 Th 3.57, 6 Pr 3.73, 1 Cs 3.89
Th 0.5000 0.5000 0.5000  6 Pr 3.57, 6 Th 3.73

## Properties
SG = R-3m
Density of states at the Fermi level = 5.888 states/eV/cell
Formation energy = 0.26 eV/atom
E = -4.195 eV per atom

No. 2
# CsPr4Tl5

A relaxed CsPr4Tl5 crystal (PBE-GGA, Alexandria via LeMat-Bulk).

Cell: 3.9881 3.9881 20.9844 Å, 90.00 90.00 90.00°
Last column: nearest neighbours and their distance in Å.
Sites, in units of the cell vectors:
Tl 0.5000 0.5000 0.3156  8 Pr 3.41-3.44, 1 Tl 3.73
Tl 0.5000 0.5000 0.6844  8 Pr 3.41-3.44, 1 Tl 3.73
Tl 0.5000 0.5000 0.5000  8 Pr 3.43
Tl 0.5000 0.5000 0.8622  4 Pr 3.32
Tl 0.5000 0.5000 0.1378  4 Pr 3.32
Pr 0.0000 0.0000 0.7784  8 Tl 3.32-3.44
Pr 0.0000 0.0000 0.4072  8 Tl 3.41-3.43
Pr 0.0000 0.0000 0.5928  8 Tl 3.41-3.43
Pr 0.0000 0.0000 0.2216  8 Tl 3.32-3.44
Cs 0.0000 0.0000 0.0000  4 Cs 3.99, 8 Tl 4.04

## Properties
SG = P4/mmm
Density of states at the Fermi level = 7.523 states/eV/cell
Formation energy = -0.31 eV/atom
E = -3.491 eV per atom

No. 3
# CsPt

A relaxed CsPt crystal (PBE-GGA, Alexandria via LeMat-Bulk).

Cell: 9.6303 5.8972 10.8572 Å, 90.00 90.00 90.00°
Last column: nearest neighbours and their distance in Å.
Sites, in units of the cell vectors:
Cs 0.3318 0.7500 0.9800  4 Pt 3.49-3.65
Cs 0.1682 0.2500 0.4800  4 Pt 3.49-3.65
Cs 0.5886 0.2500 0.3727  5 Pt 3.44-3.74
Cs 0.4114 0.7500 0.6273  5 Pt 3.44-3.74
Cs 0.9114 0.7500 0.8727  5 Pt 3.44-3.74
Cs 0.0886 0.2500 0.1273  5 Pt 3.44-3.74
Cs 0.8318 0.7500 0.5200  4 Pt 3.49-3.65
Cs 0.6682 0.2500 0.0200  4 Pt 3.49-3.65
Pt 0.8651 0.7500 0.2003  2 Pt 2.50-2.51
Pt 0.3651 0.7500 0.2997  2 Pt 2.50-2.51
Pt 0.6349 0.2500 0.7003  2 Pt 2.50-2.51
Pt 0.3947 0.2500 0.7898  2 Pt 2.50-2.51
Pt 0.6053 0.7500 0.2102  2 Pt 2.50-2.51
Pt 0.1053 0.7500 0.2898  2 Pt 2.50-2.51
Pt 0.8947 0.2500 0.7102  2 Pt 2.50-2.51
Pt 0.1349 0.2500 0.7997  2 Pt 2.50-2.51

## Properties
SG = Pnma
Density of states at the Fermi level = 11.709 states/eV/cell
Formation energy = -0.02 eV/atom
E = -3.462 eV per atom

No. 4
# Cs3Pt2

A relaxed Cs3Pt2 crystal (PBE-GGA, Alexandria via LeMat-Bulk).

Cell: 5.0521 11.5836 7.4573 Å, 85.76 70.20 77.40°
Last column: nearest neighbours and their distance in Å.
Sites, in units of the cell vectors:
Cs 0.3315 0.2458 0.2072  4 Pt 3.52-3.72, 4 Cs 3.73-3.87
Cs 0.1093 0.0000 0.0000  4 Pt 3.68-3.80, 4 Cs 3.85-3.87
Cs 0.7887 0.7458 0.2928  4 Pt 3.52-3.72, 4 Cs 3.73-3.87
Cs 0.7845 0.7542 0.7928  4 Pt 3.52-3.72, 4 Cs 3.73-3.87
Cs 0.3593 0.5000 0.5000  4 Pt 3.68-3.80, 4 Cs 3.85-3.87
Cs 0.8273 0.2542 0.7072  4 Pt 3.52-3.72, 4 Cs 3.73-3.87
Pt 0.6183 0.0220 0.5161  2 Pt 2.58
Pt 0.1564 0.9780 0.4839  2 Pt 2.58
Pt 0.8903 0.4780 0.0161  2 Pt 2.58
Pt 0.3843 0.5220 0.9839  2 Pt 2.58

## Properties
SG = Fdd2
Density of states at the Fermi level = 4.753 states/eV/cell
Formation energy = 0.06 eV/atom
E = -2.871 eV per atom

No. 5
# CsPt

A relaxed CsPt crystal (PBE-GGA, Alexandria via LeMat-Bulk).

Cell: 6.4887 15.9952 10.0889 Å, 90.00 90.00 90.00°
Last column: nearest neighbours and their distance in Å.
Sites, in units of the cell vectors:
Cs 0.7500 0.2500 0.5773  4 Pt 3.27-3.54, 3 Cs 3.48-3.60
Cs 0.0000 0.0000 0.6727  4 Pt 3.27-3.54, 3 Cs 3.48-3.60
Cs 0.2500 0.7500 0.9227  4 Pt 3.27-3.54, 3 Cs 3.48-3.60
Cs 0.7500 0.7500 0.4227  4 Pt 3.27-3.54, 3 Cs 3.48-3.60
Cs 0.0000 0.5000 0.1727  4 Pt 3.27-3.54, 3 Cs 3.48-3.60
Cs 0.2500 0.2500 0.4227  4 Pt 3.27-3.54, 3 Cs 3.48-3.60
Cs 0.2500 0.7500 0.5773  4 Pt 3.27-3.54, 3 Cs 3.48-3.60
Cs 0.2500 0.2500 0.0773  4 Pt 3.27-3.54, 3 Cs 3.48-3.60
Cs 0.7500 0.7500 0.0773  4 Pt 3.27-3.54, 3 Cs 3.48-3.60
Cs 0.5000 0.0000 0.8273  4 Pt 3.27-3.54, 3 Cs 3.48-3.60
Cs 0.0000 0.5000 0.8273  4 Pt 3.27-3.54, 3 Cs 3.48-3.60
Cs 0.7500 0.2500 0.9227  4 Pt 3.27-3.54, 3 Cs 3.48-3.60
Cs 0.5000 0.5000 0.6727  4 Pt 3.27-3.54, 3 Cs 3.48-3.60
Cs 0.5000 0.0000 0.1727  4 Pt 3.27-3.54, 3 Cs 3.48-3.60
Cs 0.0000 0.0000 0.3273  4 Pt 3.27-3.54, 3 Cs 3.48-3.60
Cs 0.5000 0.5000 0.3273  4 Pt 3.27-3.54, 3 Cs 3.48-3.60
Pt 0.0000 0.9203 0.0000  1 Pt 2.55
Pt 0.7500 0.1703 0.2500  1 Pt 2.55
Pt 0.5000 0.9203 0.5000  1 Pt 2.55
Pt 0.2500 0.8297 0.2500  1 Pt 2.55
Pt 0.7500 0.8297 0.7500  1 Pt 2.55
Pt 0.2500 0.3297 0.7500  1 Pt 2.55
Pt 0.0000 0.5797 0.5000  1 Pt 2.55
Pt 0.7500 0.3297 0.2500  1 Pt 2.55
Pt 0.2500 0.6703 0.2500  1 Pt 2.55
Pt 0.5000 0.0797 0.5000  1 Pt 2.55
Pt 0.0000 0.4203 0.5000  1 Pt 2.55
Pt 0.7500 0.6703 0.7500  1 Pt 2.55
Pt 0.5000 0.4203 0.0000  1 Pt 2.55
Pt 0.2500 0.1703 0.7500  1 Pt 2.55
Pt 0.0000 0.0797 0.0000  1 Pt 2.55
Pt 0.5000 0.5797 0.0000  1 Pt 2.55

## Properties
SG = Fddd
Density of states at the Fermi level = 26.124 states/eV/cell
Formation energy = 0.29 eV/atom
E = -3.156 eV per atom

No. 6
# CsPt

A relaxed CsPt crystal (PBE-GGA, Alexandria via LeMat-Bulk).

Cell: 7.1705 7.1705 7.1705 Å, 90.00 90.00 90.00°
Last column: nearest neighbours and their distance in Å.
Sites, in units of the cell vectors:
Pt 0.5000 0.5000 0.0000  4 Cs 3.10
Pt 0.0000 0.0000 0.0000  4 Cs 3.10
Pt 0.5000 0.0000 0.5000  4 Cs 3.10
Pt 0.0000 0.5000 0.5000  4 Cs 3.10
Cs 0.2500 0.7500 0.7500  4 Pt 3.10
Cs 0.2500 0.2500 0.2500  4 Pt 3.10
Cs 0.7500 0.7500 0.2500  4 Pt 3.10
Cs 0.7500 0.2500 0.7500  4 Pt 3.10

## Properties
SG = F-43m
Density of states at the Fermi level = 23.664 states/eV/cell
Formation energy = 1.08 eV/atom
E = -2.370 eV per atom

No. 7
# CsPt

A relaxed CsPt crystal (PBE-GGA, Alexandria via LeMat-Bulk).

Cell: 4.6245 9.9158 11.8518 Å, 90.00 90.00 90.00°
Last column: nearest neighbours and their distance in Å.
Sites, in units of the cell vectors:
Cs 0.0000 0.7139 0.8334  5 Pt 3.36-3.57
Cs 0.0000 0.1520 0.0000  8 Pt 3.38-3.75
Cs 0.5000 0.2861 0.3334  5 Pt 3.36-3.57
Cs 0.0000 0.7139 0.1666  5 Pt 3.36-3.57
Cs 0.5000 0.2861 0.6666  5 Pt 3.36-3.57
Cs 0.5000 0.8480 0.5000  8 Pt 3.38-3.75
Pt 0.0000 0.0157 0.2951  3 Pt 2.56-2.57
Pt 0.0000 0.0157 0.7049  3 Pt 2.56-2.57
Pt 0.0000 0.0971 0.5000  2 Pt 2.56
Pt 0.5000 0.9843 0.2049  3 Pt 2.56-2.57
Pt 0.5000 0.9029 0.0000  2 Pt 2.56
Pt 0.5000 0.9843 0.7951  3 Pt 2.56-2.57

## Properties
SG = Pmmn
Density of states at the Fermi level = 6.087 states/eV/cell
Formation energy = -0.04 eV/atom
E = -3.491 eV per atom

No. 8
# CsPt

A relaxed CsPt crystal (PBE-GGA, Alexandria via LeMat-Bulk).

Cell: 9.4565 9.4565 9.4565 Å, 90.00 90.00 90.00°
Last column: nearest neighbours and their distance in Å.
Sites, in units of the cell vectors:
Cs 0.7801 0.2199 0.7801  1 Pt 2.93
Cs 0.7801 0.7801 0.2199  1 Pt 2.93
Cs 0.2801 0.7199 0.2801  1 Pt 2.93
Cs 0.7199 0.7199 0.7199  1 Pt 2.93
Cs 0.7199 0.2801 0.2801  1 Pt 2.93
Cs 0.2199 0.2199 0.2199  1 Pt 2.93
Cs 0.2199 0.7801 0.7801  1 Pt 2.93
Cs 0.2801 0.2801 0.7199  1 Pt 2.93
Pt 0.6014 0.6014 0.3986  3 Pt 2.71, 1 Cs 2.93
Pt 0.8986 0.8986 0.8986  3 Pt 2.71, 1 Cs 2.93
Pt 0.1014 0.1014 0.8986  3 Pt 2.71, 1 Cs 2.93
Pt 0.3986 0.3986 0.3986  3 Pt 2.71, 1 Cs 2.93
Pt 0.1014 0.8986 0.1014  3 Pt 2.71, 1 Cs 2.93
Pt 0.8986 0.1014 0.1014  3 Pt 2.71, 1 Cs 2.93
Pt 0.6014 0.3986 0.6014  3 Pt 2.71, 1 Cs 2.93
Pt 0.3986 0.6014 0.6014  3 Pt 2.71, 1 Cs 2.93

## Properties
SG = I-43m
Density of states at the Fermi level = 7.188 states/eV/cell
Formation energy = 0.39 eV/atom
E = -3.056 eV per atom

No. 9
# Cs2Pt

A relaxed Cs2Pt crystal (PBE-GGA, Alexandria via LeMat-Bulk).

Cell: 5.8222 5.8222 8.1638 Å, 90.00 90.00 120.00°
Last column: nearest neighbours and their distance in Å.
Sites, in units of the cell vectors:
Cs 0.0000 0.0000 0.5000  6 Pt 3.93, 8 Cs 3.93-4.08
Cs 0.0000 0.0000 0.0000  6 Pt 3.93, 8 Cs 3.93-4.08
Cs 0.3333 0.6667 0.7500  3 Pt 3.36
Cs 0.6667 0.3333 0.2500  3 Pt 3.36
Pt 0.3333 0.6667 0.2500  3 Cs 3.36
Pt 0.6667 0.3333 0.7500  3 Cs 3.36

## Properties
SG = P6_3/mmc
Density of states at the Fermi level = 0.000 states/eV/cell
Formation energy = 0.01 eV/atom
E = -2.575 eV per atom

No. 10
# CsPt

A relaxed CsPt crystal (PBE-GGA, Alexandria via LeMat-Bulk).

Cell: 12.8505 12.8505 4.6672 Å, 90.00 90.00 90.00°
Last column: nearest neighbours and their distance in Å.
Sites, in units of the cell vectors:
Pt 0.1031 0.5000 0.5000  3 Pt 2.52-2.65
Pt 0.5000 0.1031 0.5000  3 Pt 2.52-2.65
Pt 0.5000 0.8237 0.0000  2 Pt 2.52
Pt 0.8237 0.5000 0.0000  2 Pt 2.52
Pt 0.5000 0.8969 0.5000  3 Pt 2.52-2.65
Pt 0.5000 0.1763 0.0000  2 Pt 2.52
Pt 0.1763 0.5000 0.0000  2 Pt 2.52
Pt 0.8969 0.5000 0.5000  3 Pt 2.52-2.65
Cs 0.6935 0.0000 0.0000  6 Pt 3.36-3.66
Cs 0.3273 0.3273 0.5000  6 Pt 3.64-3.76
Cs 0.6727 0.3273 0.5000  6 Pt 3.64-3.76
Cs 0.0000 0.6935 0.0000  6 Pt 3.36-3.66
Cs 0.0000 0.3065 0.0000  6 Pt 3.36-3.66
Cs 0.3065 0.0000 0.0000  6 Pt 3.36-3.66
Cs 0.3273 0.6727 0.5000  6 Pt 3.64-3.76
Cs 0.6727 0.6727 0.5000  6 Pt 3.64-3.76

## Properties
SG = P4/mmm
Density of states at the Fermi level = 9.453 states/eV/cell
Formation energy = -0.04 eV/atom
E = -3.485 eV per atom

No. 11
# CsPt

A relaxed CsPt crystal (PBE-GGA, Alexandria via LeMat-Bulk).

Cell: 4.5077 4.5077 9.4508 Å, 76.66 76.66 60.02°
Last column: nearest neighbours and their distance in Å.
Sites, in units of the cell vectors:
Cs 0.5827 0.5827 0.2422  6 Pt 3.50-3.51
Cs 0.4173 0.4173 0.7578  6 Pt 3.50-3.51
Pt 0.1667 0.1667 0.5000  3 Pt 2.60
Pt 0.8333 0.8333 0.5000  3 Pt 2.60

## Properties
SG = C2/m
Density of states at the Fermi level = 5.208 states/eV/cell
Formation energy = -0.11 eV/atom
E = -3.560 eV per atom

Question: What is the formation energy in the seventh record?
Answer: -0.04 eV/atom